1.
Below is ScTa2Mo at its PBEsol-relaxed geometry, with properties calculated at the meta-GGA SCAN level.

Summary:
- size of the total moment (Bohr magnetons per cell) = 0.0
- energy above the most stable polymorph in this dataset (meV/atom) = 313

a = 9.9797 Å, b = 9.9797 Å, c = 9.9797 Å
α = 16.72°, β = 16.72°, γ = 16.72°
Last column: nearest neighbours and their distance in Å.
Positions (direct):
Sc1 0.0000 0.0000 0.0000  6 Sc 2.90, 3 Mo 2.95, 3 Ta 3.05
Ta1 0.2472 0.2472 0.2472  9 Ta 2.90-3.00, 3 Sc 3.05
Ta2 0.4961 0.4961 0.4961  9 Ta 2.90-3.00, 3 Mo 2.91
Mo1 0.7489 0.7489 0.7489  6 Mo 2.90, 3 Ta 2.91, 3 Sc 2.95



2.
Below is LaMnSi at its PBEsol-relaxed geometry, with properties calculated at the meta-GGA SCAN level.

Summary:
- size of the total moment (Bohr magnetons per cell) = 4.9
- formation energy (no corrections) (eV/atom) = 0.421

a = 4.8075 Å, b = 4.8075 Å, c = 4.8075 Å
α = 60.00°, β = 60.00°, γ = 60.00°
Last column: nearest neighbours and their distance in Å.
Positions (direct):
La1 0.0000 0.0000 0.0000  4 Si 2.94, 4 Mn 2.94
Mn1 0.2500 0.2500 0.2500  4 La 2.94
Si1 0.7500 0.7500 0.7500  4 La 2.94



3.
Below is CdTcH2 at its PBEsol-relaxed geometry, with properties calculated at the meta-GGA SCAN level.

Summary:
- size of the total moment (Bohr magnetons per cell) = 1.9
- calculated total energy (eV for the cell shown) = -68.6

a = 3.8281 Å, b = 3.8281 Å, c = 3.8281 Å
α = 60.00°, β = 60.00°, γ = 60.00°
Last column: nearest neighbours and their distance in Å.
Positions (direct):
Cd1 0.0000 0.0000 0.0000  8 H 2.34
Tc1 0.5000 0.5000 0.5000  8 H 2.34
H1 0.2500 0.2500 0.2500  4 Cd 2.34, 4 Tc 2.34
H2 0.7500 0.7500 0.7500  4 Cd 2.34, 4 Tc 2.34



4.
Below is LaCrBr2 at its PBEsol-relaxed geometry, with properties calculated at the meta-GGA SCAN level.

Summary:
- size of the total moment (Bohr magnetons per cell) = 5.0
- energy above the most stable polymorph in this dataset (meV/atom) = 165
- formation energy (no corrections) (eV/atom) = -0.763

a = 5.1295 Å, b = 5.1295 Å, c = 5.1295 Å
α = 60.00°, β = 60.00°, γ = 60.00°
Last column: nearest neighbours and their distance in Å.
Positions (direct):
La1 0.0000 0.0000 0.0000  8 Br 3.14
Cr1 0.5000 0.5000 0.5000  8 Br 3.14
Br1 0.2500 0.2500 0.2500  4 Cr 3.14, 4 La 3.14
Br2 0.7500 0.7500 0.7500  4 Cr 3.14, 4 La 3.14



5.
Below is Cs2IBrCl6 at its PBEsol-relaxed geometry, with properties calculated at the meta-GGA SCAN level.

Summary:
- size of the total moment (Bohr magnetons per cell) = 0.0
- formation energy (no corrections) (eV/atom) = -0.965

a = 7.8159 Å, b = 7.8159 Å, c = 7.8159 Å
α = 60.00°, β = 60.00°, γ = 60.00°
Last column: nearest neighbours and their distance in Å.
Positions (direct):
Cs1 0.2500 0.2500 0.2500  12 Cl 3.91
Cs2 0.7500 0.7500 0.7500  12 Cl 3.91
I1 0.0000 0.0000 0.0000  6 Cl 2.57
Br1 0.5000 0.5000 0.5000  6 Cl 2.95
Cl1 0.2327 0.2327 0.7673  1 I 2.57
Cl2 0.2327 0.7673 0.2327  1 I 2.57
Cl3 0.2327 0.7673 0.7673  1 I 2.57
Cl4 0.7673 0.2327 0.2327  1 I 2.57
Cl5 0.7673 0.2327 0.7673  1 I 2.57
Cl6 0.7673 0.7673 0.2327  1 I 2.57



6.
Below is Mn2BiSCl at its PBEsol-relaxed geometry, with properties calculated at the meta-GGA SCAN level.

Summary:
- size of the total moment (Bohr magnetons per cell) = 10.0
- formation energy (no corrections) (eV/atom) = 0.448

a = 5.3362 Å, b = 5.3362 Å, c = 5.0720 Å
α = 90.00°, β = 90.00°, γ = 90.00°
Last column: nearest neighbours and their distance in Å.
Positions (direct):
Mn1 0.0000 0.5000 0.0000  2 Bi 2.67
Mn2 0.5000 0.0000 0.0000  2 Bi 2.67
Bi1 0.0000 0.0000 0.0000  2 Cl 2.54, 4 Mn 2.67
S1 0.5000 0.5000 0.5000  8 Mn 3.68, 4 Cl 3.77
Cl1 0.0000 0.0000 0.5000  2 Bi 2.54